[1]
This record from Alexandria describes a relaxed CaSm2HoTe4 crystal. The functional is PBE-GGA.

The size of the total moment comes out at 0.00 μB/f.u. For the uncorrected formation energy, the calculation gives -135.5 kJ/mol of atoms. As for the electronic total energy: -39.82 eV for the cell shown.

The space group is P2/m (No. 10) and the conventional cell measures 7.6453, 4.3907 and 7.7187 Å, with angles of 90.00, 108.95 and 90.00 degrees. The distinct sites, in fractional coordinates, are Ca at (0.0000, 0.0000, 0.0000), Sm at (0.0000, 0.5000, 0.5000), Sm at (0.5000, 0.0000, 0.5000), Ho at (0.5000, 0.5000, 0.0000), Te at (0.2508, 0.5000, 0.2445) and Te at (0.2544, 0.0000, 0.7579).

[2]
This record from Alexandria describes a relaxed Ca3Sm3HoTe8 crystal. The functional is PBE-GGA.

The size of the total moment comes out at 0.00 μB/f.u. For the uncorrected formation energy, the calculation gives -145.3 kJ/mol of atoms. As for the electronic total energy: -217.40 eV for the cell shown.

The space group is R-3m (No. 166, hexagonal axes) and the conventional cell measures 8.8534, 8.8534 and 22.1617 Å, with angles of 90.00, 90.00 and 120.00 degrees. The distinct sites, in fractional coordinates, are Ca at (0.0000, 0.5000, 0.0000), Sm at (0.0000, 0.5000, 0.5000), Ho at (0.0000, 0.0000, 0.5000), Te at (0.0000, 0.0000, 0.2503) and Te at (0.0027, 0.5014, 0.2487).

[3]
This record from Alexandria describes a relaxed CaSmHoTh crystal. The functional is PBE-GGA.

The size of the total moment comes out at 0.61 μB/f.u. As for the electronic total energy: -71.22 eV for the cell shown. The value obtained for the formation energy is 22.0 kJ/mol of atoms.

The space group is F-43m (No. 216) and the conventional cell measures 8.1526, 8.1526 and 8.1526 Å, with angles of 90.00, 90.00 and 90.00 degrees. The distinct sites, in fractional coordinates, are Ca at (0.0000, 0.0000, 0.0000), Sm at (0.2500, 0.2500, 0.7500), Ho at (0.2500, 0.2500, 0.2500) and Th at (0.0000, 0.0000, 0.5000).